Compound: RbNaTlCd
Source: Alexandria
Functional: PBE-GGA
Structure: optimized geometry

Computed properties:
Energy relative to the lowest polymorph listed for this composition in kJ/mol of formula units: 0
Density of states at the Fermi level in states/eV/f.u.: 2.816
Calculated volume in A^3/atom: 39.88

Cell lengths 5.2779, 5.2779, 7.2713 Å; angles 111.20, 111.20, 60.11 degrees
Closest atoms and distances in Å follow each position.
Fractional positions:
Rb1 0.0000 0.0000 0.0000  4 Na 3.85-4.11, 4 Cd 3.99-4.02, 3 Tl 4.01
Na1 0.8056 0.8056 0.4175  3 Tl 3.29, 3 Cd 3.30
Tl1 0.5348 0.5348 0.6051  3 Cd 3.05, 3 Na 3.29
Cd1 0.2023 0.2023 0.6078  3 Tl 3.05, 3 Na 3.30


Compound: Rb2NaTl6Cd
Source: Alexandria
Functional: PBE-GGA
Structure: optimized geometry

Computed properties:
Density of states at the Fermi level in states/eV/f.u.: 6.603
Calculated volume in A^3/atom: 38.16

Cell lengths 14.2806, 14.2806, 14.2806 Å; angles 32.87, 32.87, 32.87 degrees
Closest atoms and distances in Å follow each position.
Fractional positions:
Rb1 0.1406 0.1406 0.1406  12 Tl 3.81-4.23
Rb2 0.3136 0.3136 0.3136  12 Tl 4.16-4.36, 1 Na 4.22
Rb3 0.6864 0.6864 0.6864  12 Tl 4.16-4.36, 1 Na 4.22
Rb4 0.8594 0.8594 0.8594  12 Tl 3.81-4.23
Na1 0.4179 0.4179 0.4179  6 Tl 2.95-2.97
Na2 0.5821 0.5821 0.5821  6 Tl 2.95-2.97
Tl1 0.0487 0.6425 0.6425  1 Na 2.97, 2 Tl 3.28
Tl2 0.1950 0.1950 0.7869  1 Na 2.95, 1 Cd 3.05, 2 Tl 3.30
Tl3 0.1950 0.7869 0.1950  1 Na 2.95, 1 Cd 3.05, 2 Tl 3.30
Tl4 0.2131 0.8050 0.8050  1 Na 2.95, 1 Cd 3.05, 2 Tl 3.30
Tl5 0.3575 0.3575 0.9513  1 Na 2.97, 2 Tl 3.28
Tl6 0.3575 0.9513 0.3575  1 Na 2.97, 2 Tl 3.28
Tl7 0.6425 0.0487 0.6425  1 Na 2.97, 2 Tl 3.28
Tl8 0.6425 0.6425 0.0487  1 Na 2.97, 2 Tl 3.28
Tl9 0.7869 0.1950 0.1950  1 Na 2.95, 1 Cd 3.05, 2 Tl 3.30
Tl10 0.8050 0.2131 0.8050  1 Na 2.95, 1 Cd 3.05, 2 Tl 3.30
Tl11 0.8050 0.8050 0.2131  1 Na 2.95, 1 Cd 3.05, 2 Tl 3.30
Tl12 0.9513 0.3575 0.3575  1 Na 2.97, 2 Tl 3.28
Cd1 0.0000 0.0000 0.0000  6 Tl 3.05
Cd2 0.5000 0.5000 0.5000  2 Na 3.32, 6 Tl 3.56


Compound: Rb2Na12TlCd3
Source: Alexandria
Functional: PBE-GGA
Structure: optimized geometry

Computed properties:
Density of states at the Fermi level in states/eV/f.u.: 8.817
Calculated volume in A^3/atom: 41.08

Cell lengths 12.7075, 12.7075, 12.7075 Å; angles 39.26, 39.26, 39.26 degrees
Closest atoms and distances in Å follow each position.
Fractional positions:
Rb1 0.1519 0.1519 0.1519  6 Na 4.17-4.30
Rb2 0.8481 0.8481 0.8481  6 Na 4.17-4.30
Na1 0.0915 0.0915 0.6859  2 Cd 3.13, 4 Na 3.43-3.46
Na2 0.0915 0.6859 0.0915  2 Cd 3.13, 4 Na 3.43-3.46
Na3 0.1520 0.5674 0.5674  1 Tl 3.23, 1 Cd 3.38, 4 Na 3.43-3.55
Na4 0.3141 0.9085 0.9085  2 Cd 3.13, 4 Na 3.43-3.46
Na5 0.4326 0.4326 0.8480  1 Tl 3.23, 1 Cd 3.38, 4 Na 3.43-3.55
Na6 0.4326 0.8480 0.4326  1 Tl 3.23, 1 Cd 3.38, 4 Na 3.43-3.55
Na7 0.5674 0.1520 0.5674  1 Tl 3.23, 1 Cd 3.38, 4 Na 3.43-3.55
Na8 0.5674 0.5674 0.1520  1 Tl 3.23, 1 Cd 3.38, 4 Na 3.43-3.55
Na9 0.6859 0.0915 0.0915  2 Cd 3.13, 4 Na 3.43-3.46
Na10 0.8480 0.4326 0.4326  1 Tl 3.23, 1 Cd 3.38, 4 Na 3.43-3.55
Na11 0.9085 0.3141 0.9085  2 Cd 3.13, 4 Na 3.43-3.46
Na12 0.9085 0.9085 0.3141  2 Cd 3.13, 4 Na 3.43-3.46
Tl1 0.5000 0.5000 0.5000  6 Na 3.23
Cd1 0.0000 0.5000 0.5000  6 Na 3.13-3.38
Cd2 0.5000 0.0000 0.5000  6 Na 3.13-3.38
Cd3 0.5000 0.5000 0.0000  6 Na 3.13-3.38


Compound: RbNaTlCd
Source: Alexandria
Functional: PBE-GGA
Structure: optimized geometry

Computed properties:
Energy relative to the lowest polymorph listed for this composition in kJ/mol of formula units: 32
Density of states at the Fermi level in states/eV/f.u.: 3.644
Calculated volume in A^3/atom: 34.25

Cell lengths 5.7862, 5.7862, 5.7862 Å; angles 60.00, 60.00, 60.00 degrees
Closest atoms and distances in Å follow each position.
Fractional positions:
Rb1 0.0000 0.0000 0.0000  4 Cd 3.54, 4 Na 3.54
Na1 0.2500 0.2500 0.2500  4 Tl 3.54, 4 Rb 3.54
Tl1 0.5000 0.5000 0.5000  4 Cd 3.54, 4 Na 3.54
Cd1 0.7500 0.7500 0.7500  4 Rb 3.54, 4 Tl 3.54


Compound: RbNaTl2Cd
Source: Alexandria
Functional: PBE-GGA
Structure: optimized geometry

Computed properties:
Energy relative to the lowest polymorph listed for this composition in kJ/mol of formula units: 42
Density of states at the Fermi level in states/eV/f.u.: 3.545
Calculated volume in A^3/atom: 40.04

Cell lengths 5.7926, 5.7926, 5.9666 Å; angles 90.00, 90.00, 90.00 degrees
Closest atoms and distances in Å follow each position.
Fractional positions:
Rb1 0.0000 0.0000 0.0000  4 Na 4.10, 8 Tl 4.16
Na1 0.5000 0.5000 0.0000  2 Cd 2.98
Tl1 0.0000 0.5000 0.5000  2 Cd 2.90
Tl2 0.5000 0.0000 0.5000  2 Cd 2.90
Cd1 0.5000 0.5000 0.5000  4 Tl 2.90, 2 Na 2.98


Compound: RbNa2TlCd
Source: Alexandria
Functional: PBE-GGA
Structure: optimized geometry

Computed properties:
Energy relative to the lowest polymorph listed for this composition in kJ/mol of formula units: 4
Density of states at the Fermi level in states/eV/f.u.: 2.313
Calculated volume in A^3/atom: 42.07

Cell lengths 6.0438, 6.0438, 5.7583 Å; angles 90.00, 90.00, 90.00 degrees
Closest atoms and distances in Å follow each position.
Fractional positions:
Rb1 0.0000 0.0000 0.0000  8 Na 4.17, 4 Tl 4.27
Na1 0.0000 0.5000 0.5000  2 Cd 3.02
Na2 0.5000 0.0000 0.5000  2 Cd 3.02
Tl1 0.5000 0.5000 0.0000  2 Cd 2.88
Cd1 0.5000 0.5000 0.5000  2 Tl 2.88, 4 Na 3.02


| no. | mass density (g cm⁻³) | E_form (eV/atom) |
| --- | --- | --- |
| 1 | 4.4 | -0.073 |
| 2 | 6.7 | 0.027 |
| 3 | 2.2 | 0.075 |
| 4 | 5.2 | 0.012 |
| 5 | 5.2 | 0.057 |
| 6 | 3.5 | 0.009 |